<w>
A plane-wave DFT calculation with GGA-PBE was carried out for TiNbAlPd after structural relaxation.

a b c (Å): 4.5131 4.5131 4.5131
angles (deg): 60.00 60.00 60.00
Positions (direct):
Ti  0.0000  0.0000  0.0000
Nb  0.7500  0.7500  0.7500
Al  0.5000  0.5000  0.5000
Pd  0.2500  0.2500  0.2500

***

<x>
A plane-wave DFT calculation with GGA-PBE was carried out for TiNbAlPd after structural relaxation.

a b c (Å): 2.8819 2.8819 7.8199
angles (deg): 90.00 90.00 90.00
Positions (direct):
Ti  0.0000  0.0000  0.0000
Nb  0.5000  0.5000  0.2790
Al  0.0000  0.0000  0.5373
Pd  0.5000  0.5000  0.7490

***

Which is the most stable structure? <x> is the most stable.

***

<w>
A plane-wave DFT calculation with GGA-PBE was carried out for NbAlPt3 after structural relaxation.

a b c (Å): 4.5331 4.5331 4.5331
angles (deg): 90.00 90.00 90.00
Positions (direct):
Nb  0.0000  0.0000  0.0000
Al  0.5000  0.5000  0.5000
Pt  0.0000  0.5000  0.5000
Pt  0.5000  0.0000  0.5000
Pt  0.5000  0.5000  0.0000

***

<x>
A plane-wave DFT calculation with GGA-PBE was carried out for NbAlPt3 after structural relaxation.

a b c (Å): 4.8960 4.8960 4.8960
angles (deg): 90.00 90.00 90.00
Positions (direct):
Nb  0.0000  0.0000  0.0000
Al  0.5000  0.5000  0.5000
Pt  0.0000  0.0000  0.5000
Pt  0.0000  0.5000  0.0000
Pt  0.5000  0.0000  0.0000

***

Which is the most stable structure? <w> is the most stable.

***

<w>
A plane-wave DFT calculation with GGA-PBE was carried out for NbAl2Pt2 after structural relaxation.

a b c (Å): 7.5222 7.5222 2.7958
angles (deg): 90.00 90.00 90.00
Positions (direct):
Nb  0.0000  0.0000  0.0000
Nb  0.5000  0.5000  0.0000
Al  0.1621  0.3379  0.5000
Al  0.3379  0.8379  0.5000
Al  0.6621  0.1621  0.5000
Al  0.8379  0.6621  0.5000
Pt  0.1351  0.6351  0.0000
Pt  0.3649  0.1351  0.0000
Pt  0.6351  0.8649  0.0000
Pt  0.8649  0.3649  0.0000

***

<x>
A plane-wave DFT calculation with GGA-PBE was carried out for NbAl2Pt2 after structural relaxation.

a b c (Å): 7.4792 7.4792 2.7849
angles (deg): 90.00 90.00 90.00
Positions (direct):
Nb  0.0000  0.0000  0.0000
Nb  0.5000  0.5000  0.0000
Al  0.1375  0.3625  0.0000
Al  0.3625  0.8625  0.0000
Al  0.6375  0.1375  0.0000
Al  0.8625  0.6375  0.0000
Pt  0.1598  0.6598  0.5000
Pt  0.3402  0.1598  0.5000
Pt  0.6598  0.8402  0.5000
Pt  0.8402  0.3402  0.5000

***

Which is the most stable structure? <x> is the most stable.

***

<w>
A plane-wave DFT calculation with GGA-PBE was carried out for TiNbAlPt after structural relaxation.

a b c (Å): 3.6784 4.1042 4.2558
angles (deg): 90.00 90.00 90.00
Positions (direct):
Ti  0.0000  0.0000  0.0000
Nb  0.5000  0.5000  0.0000
Al  0.0000  0.5000  0.5000
Pt  0.5000  0.0000  0.5000

***

<x>
A plane-wave DFT calculation with GGA-PBE was carried out for TiNbAlPt after structural relaxation.

a b c (Å): 4.4932 4.4932 4.4932
angles (deg): 60.00 60.00 60.00
Positions (direct):
Ti  0.0000  0.0000  0.0000
Nb  0.7500  0.7500  0.7500
Al  0.5000  0.5000  0.5000
Pt  0.2500  0.2500  0.2500

***

Which is the most stable structure? <w> is the most stable.

***

<w>
A plane-wave DFT calculation with GGA-PBE was carried out for PuNb2Al after structural relaxation.

a b c (Å): 10.6402 10.6402 10.6402
angles (deg): 15.74 15.74 15.74
Positions (direct):
Pu  0.0000  0.0000  0.0000
Nb  0.0928  0.0928  0.0928
Nb  0.9072  0.9072  0.9072
Al  0.5000  0.5000  0.5000

***

<x>
A plane-wave DFT calculation with GGA-PBE was carried out for PuNb2Al after structural relaxation.

a b c (Å): 4.4797 4.4797 3.7141
angles (deg): 90.00 90.00 90.00
Positions (direct):
Pu  0.0000  0.0000  0.0000
Nb  0.0000  0.5000  0.5000
Nb  0.5000  0.0000  0.5000
Al  0.5000  0.5000  0.0000

***

Which is the most stable structure? <x> is the most stable.

***

<w>
A plane-wave DFT calculation with GGA-PBE was carried out for RbNb3Al after structural relaxation.

a b c (Å): 4.7828 4.7828 4.7828
angles (deg): 90.00 90.00 90.00
Positions (direct):
Rb  0.0000  0.0000  0.0000
Nb  0.0000  0.0000  0.5000
Nb  0.0000  0.5000  0.0000
Nb  0.5000  0.0000  0.0000
Al  0.5000  0.5000  0.5000

***

<x>
A plane-wave DFT calculation with GGA-PBE was carried out for RbNb3Al after structural relaxation.

a b c (Å): 5.0145 5.0145 5.0145
angles (deg): 90.00 90.00 90.00
Positions (direct):
Rb  0.0000  0.0000  0.0000
Nb  0.0000  0.5000  0.5000
Nb  0.5000  0.0000  0.5000
Nb  0.5000  0.5000  0.0000
Al  0.5000  0.5000  0.5000

***

Which is the most stable structure? <x> is the most stable.

***

<w>
A plane-wave DFT calculation with GGA-PBE was carried out for NbAl2Re after structural relaxation.

a b c (Å): 4.4437 4.4437 4.4437
angles (deg): 60.00 60.00 60.00
Positions (direct):
Nb  0.0000  0.0000  0.0000
Al  0.2500  0.2500  0.2500
Al  0.7500  0.7500  0.7500
Re  0.5000  0.5000  0.5000

***

<x>
A plane-wave DFT calculation with GGA-PBE was carried out for NbAl2Re after structural relaxation.

a b c (Å): 9.9107 9.9107 9.9107
angles (deg): 157.83 157.83 31.56
Positions (direct):
Nb  0.0000  0.0000  0.0000
Nb  0.7500  0.2500  0.5000
Al  0.1288  0.6250  0.0038
Al  0.3750  0.3788  0.5038
Al  0.6212  0.1250  0.9962
Al  0.8750  0.8712  0.4962
Re  0.2500  0.7500  0.5000
Re  0.5000  0.5000  0.0000

***

Which is the most stable structure? <w> is the most stable.

***

<w>
A plane-wave DFT calculation with GGA-PBE was carried out for NbAlRh3 after structural relaxation.

a b c (Å): 4.3857 4.3857 4.3857
angles (deg): 90.00 90.00 90.00
Positions (direct):
Nb  0.0000  0.0000  0.0000
Al  0.5000  0.5000  0.5000
Rh  0.0000  0.5000  0.5000
Rh  0.5000  0.0000  0.5000
Rh  0.5000  0.5000  0.0000

***

<x>
A plane-wave DFT calculation with GGA-PBE was carried out for NbAlRh3 after structural relaxation.

a b c (Å): 4.7099 4.7099 4.7099
angles (deg): 90.00 90.00 90.00
Positions (direct):
Nb  0.0000  0.0000  0.0000
Al  0.5000  0.5000  0.5000
Rh  0.0000  0.0000  0.5000
Rh  0.0000  0.5000  0.0000
Rh  0.5000  0.0000  0.0000

***

Which is the most stable structure? <w> is the most stable.

***

<w>
A plane-wave DFT calculation with GGA-PBE was carried out for Nb3AlRh after structural relaxation.

a b c (Å): 4.8093 4.8093 4.8093
angles (deg): 90.00 90.00 90.00
Positions (direct):
Nb  0.0000  0.0000  0.5000
Nb  0.0000  0.5000  0.0000
Nb  0.5000  0.0000  0.0000
Al  0.5000  0.5000  0.5000
Rh  0.0000  0.0000  0.0000

***

<x>
A plane-wave DFT calculation with GGA-PBE was carried out for Nb3AlRh after structural relaxation.

a b c (Å): 4.6443 4.6443 4.6443
angles (deg): 90.00 90.00 90.00
Positions (direct):
Nb  0.0000  0.0000  0.5000
Nb  0.0000  0.5000  0.0000
Nb  0.5000  0.0000  0.0000
Al  0.0000  0.0000  0.0000
Rh  0.5000  0.5000  0.5000

***

Which is the most stable structure? <w> is the most stable.

***

<w>
A plane-wave DFT calculation with GGA-PBE was carried out for Nb3AlRu after structural relaxation.

a b c (Å): 4.6326 4.6326 4.6326
angles (deg): 90.00 90.00 90.00
Positions (direct):
Nb  0.0000  0.0000  0.5000
Nb  0.0000  0.5000  0.0000
Nb  0.5000  0.0000  0.0000
Al  0.0000  0.0000  0.0000
Ru  0.5000  0.5000  0.5000

***

<x>
A plane-wave DFT calculation with GGA-PBE was carried out for Nb3AlRu after structural relaxation.

a b c (Å): 4.7935 4.7935 4.7935
angles (deg): 90.00 90.00 90.00
Positions (direct):
Nb  0.0000  0.0000  0.5000
Nb  0.0000  0.5000  0.0000
Nb  0.5000  0.0000  0.0000
Al  0.5000  0.5000  0.5000
Ru  0.0000  0.0000  0.0000

***

Which is the most stable structure? <x> is the most stable.

***

<w>
A plane-wave DFT calculation with GGA-PBE was carried out for Nb2AlSb after structural relaxation.

a b c (Å): 4.7140 4.7140 4.7140
angles (deg): 60.00 60.00 60.00
Positions (direct):
Nb  0.2500  0.2500  0.2500
Nb  0.7500  0.7500  0.7500
Al  0.0000  0.0000  0.0000
Sb  0.5000  0.5000  0.5000

***

<x>
A plane-wave DFT calculation with GGA-PBE was carried out for Nb2AlSb after structural relaxation.

a b c (Å): 10.4123 10.4123 10.4123
angles (deg): 157.77 157.77 31.64
Positions (direct):
Nb  0.1077  0.6250  0.9827
Nb  0.3750  0.3577  0.4827
Nb  0.6423  0.1250  0.0173
Nb  0.8750  0.8923  0.5173
Al  0.0000  0.0000  0.0000
Al  0.7500  0.2500  0.5000
Sb  0.2500  0.7500  0.5000
Sb  0.5000  0.5000  0.0000

***

Which is the most stable structure? <w> is the most stable.

***

<w>
A plane-wave DFT calculation with GGA-PBE was carried out for ScNbAl3 after structural relaxation.

a b c (Å): 5.4219 4.5596 7.5985
angles (deg): 90.00 107.91 90.00
Positions (direct):
Sc  0.2191  0.2500  0.2004
Sc  0.7809  0.7500  0.7996
Nb  0.1427  0.7500  0.5646
Nb  0.8573  0.2500  0.4354
Al  0.1140  0.2500  0.8026
Al  0.3430  0.7500  0.9714
Al  0.4562  0.2500  0.6000
Al  0.5438  0.7500  0.4000
Al  0.6570  0.2500  0.0286
Al  0.8860  0.7500  0.1974

***

<x>
A plane-wave DFT calculation with GGA-PBE was carried out for ScNbAl3 after structural relaxation.

a b c (Å): 7.0860 7.0860 7.0860
angles (deg): 148.53 148.53 45.11
Positions (direct):
Sc  0.0000  0.0000  0.0000
Nb  0.6180  0.6180  0.0000
Al  0.2643  0.7643  0.5000
Al  0.4145  0.4145  0.0000
Al  0.7643  0.2643  0.5000

***

Which is the most stable structure? <w> is the most stable.

***

<w>
A plane-wave DFT calculation with GGA-PBE was carried out for ScNbAl2 after structural relaxation.

a b c (Å): 4.6582 4.6582 4.6582
angles (deg): 60.00 60.00 60.00
Positions (direct):
Sc  0.0000  0.0000  0.0000
Nb  0.5000  0.5000  0.5000
Al  0.2500  0.2500  0.2500
Al  0.7500  0.7500  0.7500

***

<x>
A plane-wave DFT calculation with GGA-PBE was carried out for ScNbAl2 after structural relaxation.

a b c (Å): 5.9523 5.9523 5.9523
angles (deg): 102.94 102.94 123.51
Positions (direct):
Sc  0.0000  0.0000  0.0000
Sc  0.7500  0.2500  0.5000
Nb  0.2500  0.7500  0.5000
Nb  0.5000  0.5000  0.0000
Al  0.1350  0.1250  0.5100
Al  0.3750  0.8650  0.9900
Al  0.6150  0.6250  0.4900
Al  0.8750  0.3850  0.0100

***

<y>
A plane-wave DFT calculation with GGA-PBE was carried out for ScNbAl2 after structural relaxation.

a b c (Å): 4.1910 4.1910 4.0483
angles (deg): 90.00 90.00 90.00
Positions (direct):
Sc  0.0000  0.0000  0.0000
Nb  0.5000  0.5000  0.0000
Al  0.0000  0.5000  0.5000
Al  0.5000  0.0000  0.5000

***

Which is the most stable structure? <y> is the most stable.